[1]
VASP calculation (PBE) on an optimized crystal structure of Ca2IrNF.

Total energy in eV per atom: -5.515
Energy relative to the elements, uncorrected in eV/atom: -0.903
V in Å³ per atom: 22.560

Geometry as POSCAR:
```
Ca2IrNF
1.0
5.469 0.000 0.000
0.000 3.771 0.000
0.000 0.000 5.469
N Ca Ir F
1 2 1 1
direct
0.000 0.500 0.000 N
0.000 0.000 0.500 Ca
0.500 0.000 0.000 Ca
0.000 0.000 0.000 Ir
0.500 0.500 0.500 F
```

[2]
VASP calculation (PBE) on an optimized crystal structure of CaIrNF2.

Total energy in eV per atom: -4.752
Energy relative to the elements, uncorrected in eV/atom: -0.166
V in Å³ per atom: 17.489
Offset from the most stable computed form in meV/atom: 919

Geometry as POSCAR:
```
CaIrNF2
1.0
4.053 0.000 0.000
0.000 4.053 0.000
0.000 0.000 5.323
N Ca Ir F
1 1 1 2
direct
0.000 0.000 0.500 N
0.000 0.000 0.000 Ca
0.500 0.500 0.500 Ir
0.000 0.500 0.000 F
0.500 0.000 0.000 F
```

[3]
VASP calculation (PBE) on an optimized crystal structure of CaIrNF2.

Total energy in eV per atom: -5.671
Energy relative to the elements, uncorrected in eV/atom: -1.085
V in Å³ per atom: 15.663
Offset from the most stable computed form in meV/atom: 0

Geometry as POSCAR:
```
CaIrNF2
1.0
-3.294 -3.143 -0.649
1.486 -0.670 -4.300
2.291 -2.649 1.204
N Ca Ir F
1 1 1 2
direct
0.000 0.000 0.500 N
0.500 0.500 0.500 Ca
0.000 0.000 0.000 Ir
0.000 0.500 0.000 F
0.500 0.000 0.000 F
```

[4]
VASP calculation (PBE) on an optimized crystal structure of NaCaIrF6.

Total energy in eV per atom: -5.113
Energy relative to the elements, uncorrected in eV/atom: -2.512
V in Å³ per atom: 14.892

Geometry as POSCAR:
```
NaCaIrF6
1.0
5.706 0.000 0.000
-2.853 4.941 0.000
0.000 0.000 9.507
Na Ca Ir F
2 2 2 12
direct
0.000 0.000 0.000 Na
0.000 0.000 0.500 Na
0.333 0.667 0.250 Ca
0.667 0.333 0.750 Ca
0.667 0.333 0.250 Ir
0.333 0.667 0.750 Ir
0.667 0.634 0.133 F
0.968 0.333 0.133 F
0.333 0.968 0.633 F
0.032 0.667 0.867 F
0.366 0.333 0.367 F
0.968 0.634 0.367 F
0.634 0.968 0.867 F
0.667 0.032 0.367 F
0.032 0.366 0.633 F
0.366 0.032 0.133 F
0.634 0.667 0.633 F
0.333 0.366 0.867 F
```